A plane-wave DFT calculation with PBE was carried out for La5Cu2Hg after structural relaxation.

Cell and atoms, written as CIF:
```
data_La5Cu2Hg
_chemical_formula_sum 'La20 Cu8 Hg4'
_space_group_name_H-M_alt 'I 4/m c m'
_space_group_IT_number 140
_space_group_name_Hall '-I 4 2c'
_cell_length_a 8.4015
_cell_length_b 8.4015
_cell_length_c 13.1087
_cell_angle_alpha 90.00
_cell_angle_beta 90.00
_cell_angle_gamma 90.00
loop_
_atom_site_label
_atom_site_type_symbol
_atom_site_fract_x
_atom_site_fract_y
_atom_site_fract_z
La1 La 0.0000 0.0000 0.0000
La2 La 0.1567 0.3433 0.1435
Cu1 Cu 0.1261 0.3739 0.5000
Hg1 Hg 0.0000 0.0000 0.2500
```

Summary:
- DOS at the Fermi energy: 41.2 states/eV per cell
- Calculated formation energy: -0.200 eV per atom
- Total magnetic moment: 0.00 μB/cell